An optimized crystal structure of LiMgSc2. Source: the Alexandria database, functional GGA-PBE.

a b c (Å): 3.096 4.870 6.156
angles (deg): 90.00 101.64 90.00
Fractional positions:
Li 0.000 0.000 0.000
Mg 0.000 0.000 0.500
Sc 0.417 0.500 0.245
Sc 0.583 0.500 0.755

Energy, eV/atom: -3.935
Energy of formation, eV per atom: 0.11
Magnetization, μB per atom: 0.0018
DOS(E_F), states/eV per atom: 1.190

---

An optimized crystal structure of LiAc4Te5. Source: the Alexandria database, functional GGA-PBE.

a b c (Å): 8.095 8.095 8.095
angles (deg): 99.74 99.74 131.42
Fractional positions:
Li 0.000 0.000 0.000
Ac 0.253 0.462 0.602
Ac 0.462 0.860 0.209
Ac 0.651 0.253 0.791
Ac 0.860 0.651 0.398
Te 0.153 0.775 0.815
Te 0.338 0.153 0.378
Te 0.561 0.561 0.000
Te 0.775 0.960 0.622
Te 0.960 0.338 0.185

Energy, eV/atom: -4.843
Magnetization, μB per atom: 0.0000
DOS(E_F), states/eV per atom: 0.525

---

An optimized crystal structure of TiGaOs. Source: the Alexandria database, functional GGA-PBE.

a b c (Å): 8.141 8.141 4.129
angles (deg): 90.00 90.00 158.34
Fractional positions:
Ti 0.085 0.915 0.750
Ti 0.915 0.085 0.250
Ga 0.287 0.713 0.750
Ga 0.713 0.287 0.250
Os 0.442 0.558 0.750
Os 0.558 0.442 0.250

Energy, eV/atom: -7.592
Energy of formation, eV per atom: -0.21
Magnetization, μB per atom: 0.0000
DOS(E_F), states/eV per atom: 0.652